Entry 1:
Below is crystalline NbRe3B at its relaxed geometry, with properties calculated at the PBE level.

Results
As for the offset from the most stable computed form: 0.0000 eV per atom.

Cell lengths 8.3580, 3.0725, 10.9039 Å; angles 90.00, 90.00, 90.00 degrees
Space group Pnma (No. 62)
Symmetry-distinct sites (fractional):
Nb: 0.1756 0.2500 0.0043 (multiplicity 4)
Re: 0.0581 0.2500 0.4100 (multiplicity 4)
Re: 0.0817 0.7500 0.2003 (multiplicity 4)
Re: 0.1732 0.7500 0.7779 (multiplicity 4)
B: 0.1443 0.2500 0.6204 (multiplicity 4)

***

Entry 2:
Below is crystalline NbRe3B at its relaxed geometry, with properties calculated at the PBE level.

Results
As for the offset from the most stable computed form: 3.4426 eV per atom.

Cell lengths 4.7752, 4.7752, 4.7752 Å; angles 90.00, 90.00, 90.00 degrees
Space group Pm-3m (No. 221)
Symmetry-distinct sites (fractional):
Nb: 0.0000 0.0000 0.0000 (multiplicity 1)
Re: 0.0000 0.0000 0.5000 (multiplicity 3)
B: 0.5000 0.5000 0.5000 (multiplicity 1)

***

Entry 3:
Below is crystalline NbReB2 at its relaxed geometry, with properties calculated at the PBE level.

Results
As for the offset from the most stable computed form: 0.0000 eV per atom.

Cell lengths 3.2292, 3.1013, 4.6067 Å; angles 90.00, 110.68, 90.00 degrees
Space group Pm (No. 6)
Symmetry-distinct sites (fractional):
Nb: 0.0000 0.0000 0.0000 (multiplicity 1)
Re: 0.7124 0.5000 0.4251 (multiplicity 1)
B: 0.2938 0.0000 0.5901 (multiplicity 1)
B: 0.4140 0.5000 0.8249 (multiplicity 1)

***

Entry 4:
Below is crystalline NbReB2 at its relaxed geometry, with properties calculated at the PBE level.

Results
As for the offset from the most stable computed form: 1.1132 eV per atom.

Cell lengths 4.7802, 4.7802, 10.2310 Å; angles 90.00, 90.00, 90.00 degrees
Space group I-42d (No. 122)
Symmetry-distinct sites (fractional):
Nb: 0.0000 0.0000 0.0000 (multiplicity 4)
Re: 0.0000 0.0000 0.5000 (multiplicity 4)
B: 0.2173 0.2500 0.6250 (multiplicity 8)

***

Entry 5:
Below is crystalline NbRe3B at its relaxed geometry, with properties calculated at the PBE level.

Results
As for the offset from the most stable computed form: 0.1243 eV per atom.

Cell lengths 4.1562, 4.1562, 4.1562 Å; angles 90.00, 90.00, 90.00 degrees
Space group Pm-3m (No. 221)
Symmetry-distinct sites (fractional):
Nb: 0.0000 0.0000 0.0000 (multiplicity 1)
Re: 0.0000 0.5000 0.5000 (multiplicity 3)
B: 0.5000 0.5000 0.5000 (multiplicity 1)

***

Entry 6:
Below is crystalline Nb3ReB4 at its relaxed geometry, with properties calculated at the PBE level.

Results
The value obtained for the final energy is -9.146 eV per atom.

Cell lengths 3.2201, 4.8591, 12.2537 Å; angles 90.00, 90.00, 90.00 degrees
Space group Immm (No. 71)
Symmetry-distinct sites (fractional):
Nb: 0.0000 0.0000 0.0000 (multiplicity 2)
Nb: 0.0000 0.5000 0.1917 (multiplicity 4)
Re: 0.0000 0.0000 0.5000 (multiplicity 2)
B: 0.0000 0.3243 0.3701 (multiplicity 8)

***

Entry 7:
Below is crystalline NbRe5B3 at its relaxed geometry, with properties calculated at the PBE level.

Results
The value obtained for the final energy is -10.357 eV per atom.

Cell lengths 5.6714, 6.0817, 7.8142 Å; angles 112.51, 95.12, 107.19 degrees
Space group P-1 (No. 2)
Symmetry-distinct sites (fractional):
Nb: 0.0359 0.1409 0.3105 (multiplicity 2)
Re: 0.0575 0.6414 0.2923 (multiplicity 2)
Re: 0.2712 0.3668 0.0467 (multiplicity 2)
Re: 0.2904 0.8513 0.0251 (multiplicity 2)
Re: 0.3817 0.1649 0.6262 (multiplicity 2)
Re: 0.3928 0.6422 0.6264 (multiplicity 2)
B: 0.0000 0.0000 0.0000 (multiplicity 1)
B: 0.0000 0.5000 0.5000 (multiplicity 1)
B: 0.3355 0.5021 0.8368 (multiplicity 2)
B: 0.3464 0.9892 0.3247 (multiplicity 2)

***

Entry 8:
Below is crystalline NbReB2 at its relaxed geometry, with properties calculated at the PBE level.

Results
As for the offset from the most stable computed form: 0.6110 eV per atom.

Cell lengths 5.6327, 5.6327, 5.6327 Å; angles 90.00, 90.00, 90.00 degrees
Space group Fm-3m (No. 225)
Symmetry-distinct sites (fractional):
Nb: 0.0000 0.0000 0.0000 (multiplicity 4)
Re: 0.0000 0.0000 0.5000 (multiplicity 4)
B: 0.2500 0.2500 0.2500 (multiplicity 8)

***

Entry 9:
Below is crystalline Nb2ReB6 at its relaxed geometry, with properties calculated at the PBE level.

Results
The value obtained for the final energy is -8.487 eV per atom.

Cell lengths 5.2982, 5.2982, 3.3957 Å; angles 90.00, 90.00, 120.00 degrees
Space group P6/mmm (No. 191)
Symmetry-distinct sites (fractional):
Nb: 0.3333 0.6667 0.0000 (multiplicity 2)
Re: 0.0000 0.0000 0.0000 (multiplicity 1)
B: 0.0000 0.3301 0.5000 (multiplicity 6)

***

Entry 10:
Below is crystalline NbReBRu2 at its relaxed geometry, with properties calculated at the PBE level.

Results
The value obtained for the final energy is -9.739 eV per atom.

Cell lengths 4.0788, 4.0788, 4.1627 Å; angles 90.00, 90.00, 90.00 degrees
Space group P4/mmm (No. 123)
Symmetry-distinct sites (fractional):
Nb: 0.0000 0.0000 0.0000 (multiplicity 1)
Re: 0.5000 0.5000 0.0000 (multiplicity 1)
B: 0.5000 0.5000 0.5000 (multiplicity 1)
Ru: 0.0000 0.5000 0.5000 (multiplicity 2)

***

Entry 11:
Below is crystalline NbB4Rh at its relaxed geometry, with properties calculated at the PBE level.

Results
The value obtained for the final energy is -7.625 eV per atom.

Cell lengths 5.9303, 11.4740, 3.3261 Å; angles 90.00, 90.00, 90.00 degrees
Space group Pbam (No. 55)
Symmetry-distinct sites (fractional):
Nb: 0.1210 0.1324 0.0000 (multiplicity 4)
B: 0.0541 0.6917 0.5000 (multiplicity 4)
B: 0.1217 0.5464 0.5000 (multiplicity 4)
B: 0.1280 0.9662 0.5000 (multiplicity 4)
B: 0.1850 0.8160 0.5000 (multiplicity 4)
Rh: 0.1302 0.3932 0.0000 (multiplicity 4)

***

Entry 12:
Below is crystalline NbBRh6 at its relaxed geometry, with properties calculated at the PBE level.

Results
The value obtained for the final energy is -7.656 eV per atom.

Cell lengths 7.6889, 7.6889, 6.8530 Å; angles 90.00, 90.00, 120.00 degrees
Space group R-3m (No. 166, hexagonal axes)
Symmetry-distinct sites (fractional):
Nb: 0.0000 0.0000 0.0000 (multiplicity 3)
B: 0.0000 0.0000 0.5000 (multiplicity 3)
Rh: 0.0739 0.5369 0.3278 (multiplicity 18)